(1)
# Nd8Ge3CI4

A relaxed structure of Nd8Ge3CI4 (PBE-GGA, Alexandria via LeMat-Bulk).

abc: 8.4973 8.4973 23.2804
angles: 90.00 90.00 120.00
Space group R-3m (No. 166, hexagonal axes)
Asymmetric unit:
Nd1 0.0000 0.0000 0.2336
Nd2 0.0294 0.5147 0.2290
Ge1 0.0000 0.5000 0.5000
C1 0.0000 0.0000 0.5000
I1 0.0000 0.0000 0.0000
I2 0.0000 0.5000 0.0000

Results
- formation energy (no corrections) (eV per atom) = -0.9224

***

(2)
# Nd6Ge2CI3

A relaxed structure of Nd6Ge2CI3 (PBE-GGA, Alexandria via LeMat-Bulk).

abc: 7.296 12.620 8.141
angles: 90.00 107.34 90.00
Space group C2/m (No. 12)
Asymmetric unit:
Nd1 0.214 0.152 0.187
Nd2 0.240 0.000 0.811
Ge1 0.000 0.334 0.000
C1 0.000 0.000 0.000
I1 0.000 0.172 0.500
I2 0.000 0.500 0.500

Results
- formation energy (no corrections) (eV per atom) = -0.8952

***

(3)
# NiGeC2I

A relaxed structure of NiGeC2I (PBE-GGA, Alexandria via LeMat-Bulk).

abc: 3.803 3.803 7.063
angles: 90.00 90.00 90.00
Space group P4/mmm (No. 123)
Asymmetric unit:
Ni1 0.000 0.000 0.000
Ge1 0.500 0.500 0.500
C1 0.000 0.500 0.000
I1 0.000 0.000 0.500

Results
- formation energy (no corrections) (eV per atom) = 1.8399

***

(4)
# GeCI2O

A relaxed structure of GeCI2O (PBE-GGA, Alexandria via LeMat-Bulk).

abc: 5.757 5.757 3.206
angles: 90.00 90.00 90.00
Space group P4/mmm (No. 123)
Asymmetric unit:
Ge1 0.000 0.000 0.000
C1 0.500 0.500 0.500
I1 0.000 0.500 0.500
O1 0.500 0.500 0.000

Results
- formation energy (no corrections) (eV per atom) = 1.0385
- E above lowest polymorph (kJ/mol of formula units) = 0

***

Number 1: uncorrected energy -82.18 eV/f.u.. Number 2: uncorrected energy -62.46 eV/f.u.. Number 3: uncorrected energy -21.20 eV/f.u.. Number 4: uncorrected energy -16.71 eV/f.u..